{
  "formula": "OsPd5W2",
  "functional": "PBE",
  "state": "optimized geometry",
  "cell": [[-4.0082, -1.8890, -0.8126], [-1.6160, 1.1901, 5.2043], [-2.5215, 4.8205, 1.2320]],
  "species": ["Pd", "Pd", "Pd", "Pd", "Pd", "W", "W", "Os"],
  "fractional_positions": [[0.5000, 0.6664, 0.1744], [0.5000, 0.1743, 0.1743], [0.0000, 0.3304, 0.8265], [0.0000, 0.8265, 0.3304], [0.5000, 0.1744, 0.6664], [0.0000, 0.3274, 0.3274], [0.5000, 0.6761, 0.6761], [0.0000, 0.8246, 0.8246]],
  "magnetic_moment_mub_per_cell": 0.00,
  "formation_enthalpy_0k_mev_per_atom": 11.3,
  "final_energy_ev_per_atom": -7.866
}